Here is a geometry-optimized LiSmCd4 structure from the Alexandria database. Energies are from PBE.

Structure (extended XYZ):
```
6
Lattice="-4.381 2.159 -0.747 -1.135 1.808 -4.454 -5.812 -5.510 1.818" Properties=species:S:1:pos:R:3 pbc="T T T"
Cd -8.897 -1.499 -1.173
Cd -4.269 1.280 -3.942
Cd -7.059 -2.823 0.559
Li 0.000 0.000 0.000
Sm -5.664 -0.772 -1.692
Cd -2.431 -0.045 -2.210
```

Properties
Energy above the lowest structure with this stoichiometry, meV per atom: 0.0
Calculated formation energy, eV/atom: -0.251
Total energy, Ha/atom: -0.0723
Crystal system: monoclinic
Symmetry: C2/m, No. 12